a.
Tb3MgCd: optimized geometry, PBE.

```
data_Tb3MgCd
_chemical_formula_sum 'Tb6 Mg2 Cd2'
_cell_length_a 10.602
_cell_length_b 10.602
_cell_length_c 5.226
_cell_angle_alpha 90.00
_cell_angle_beta 90.00
_cell_angle_gamma 151.46
_symmetry_space_group_name_H-M 'P 1'
_symmetry_Int_Tables_number 1
loop_
_symmetry_equiv_pos_as_xyz
'x,y,z'
loop_
_atom_site_label
_atom_site_type_symbol
_atom_site_fract_x
_atom_site_fract_y
_atom_site_fract_z
Tb1 Tb 0.058 0.942 0.750
Tb2 Tb 0.250 0.750 0.750
Tb3 Tb 0.439 0.561 0.750
Tb4 Tb 0.561 0.439 0.250
Tb5 Tb 0.750 0.250 0.250
Tb6 Tb 0.942 0.058 0.250
Mg1 Mg 0.154 0.846 0.250
Mg2 Mg 0.846 0.154 0.750
Cd1 Cd 0.343 0.657 0.250
Cd2 Cd 0.657 0.343 0.750
```

=====

b.
Tb3MgCd: optimized geometry, PBE.

```
data_Tb3MgCd
_chemical_formula_sum 'Tb12 Mg4 Cd4'
_cell_length_a 6.744
_cell_length_b 6.744
_cell_length_c 15.217
_cell_angle_alpha 94.80
_cell_angle_beta 94.80
_cell_angle_gamma 57.04
_symmetry_space_group_name_H-M 'P 1'
_symmetry_Int_Tables_number 1
loop_
_symmetry_equiv_pos_as_xyz
'x,y,z'
loop_
_atom_site_label
_atom_site_type_symbol
_atom_site_fract_x
_atom_site_fract_y
_atom_site_fract_z
Tb1 Tb 0.018 0.623 0.206
Tb2 Tb 0.030 0.853 0.887
Tb3 Tb 0.125 0.488 0.599
Tb4 Tb 0.147 0.970 0.613
Tb5 Tb 0.377 0.982 0.294
Tb6 Tb 0.488 0.125 0.099
Tb7 Tb 0.512 0.875 0.901
Tb8 Tb 0.623 0.018 0.706
Tb9 Tb 0.853 0.030 0.387
Tb10 Tb 0.875 0.512 0.401
Tb11 Tb 0.970 0.147 0.113
Tb12 Tb 0.982 0.377 0.794
Mg1 Mg 0.346 0.545 0.417
Mg2 Mg 0.455 0.654 0.083
Mg3 Mg 0.545 0.346 0.917
Mg4 Mg 0.654 0.455 0.583
Cd1 Cd 0.000 0.500 0.000
Cd2 Cd 0.423 0.577 0.750
Cd3 Cd 0.500 0.000 0.500
Cd4 Cd 0.577 0.423 0.250
```

=====

Which structure is the most stable? The one labeled a.

=====

a.
Tb3Mg4Cd2: optimized geometry, PBE.

```
data_Tb3Mg4Cd2
_chemical_formula_sum 'Tb3 Mg4 Cd2'
_cell_length_a 5.358
_cell_length_b 5.358
_cell_length_c 9.415
_cell_angle_alpha 96.03
_cell_angle_beta 96.03
_cell_angle_gamma 58.84
_symmetry_space_group_name_H-M 'P 1'
_symmetry_Int_Tables_number 1
loop_
_symmetry_equiv_pos_as_xyz
'x,y,z'
loop_
_atom_site_label
_atom_site_type_symbol
_atom_site_fract_x
_atom_site_fract_y
_atom_site_fract_z
Tb1 Tb 0.000 0.000 0.000
Tb2 Tb 0.366 0.366 0.251
Tb3 Tb 0.634 0.634 0.749
Mg1 Mg 0.047 0.047 0.353
Mg2 Mg 0.321 0.321 0.903
Mg3 Mg 0.679 0.679 0.097
Mg4 Mg 0.953 0.953 0.647
Cd1 Cd 0.286 0.286 0.595
Cd2 Cd 0.714 0.714 0.405
```

=====

b.
Tb3Mg4Cd2: optimized geometry, PBE.

```
data_Tb3Mg4Cd2
_chemical_formula_sum 'Tb3 Mg4 Cd2'
_cell_length_a 6.117
_cell_length_b 6.117
_cell_length_c 9.493
_cell_angle_alpha 119.58
_cell_angle_beta 119.58
_cell_angle_gamma 49.64
_symmetry_space_group_name_H-M 'P 1'
_symmetry_Int_Tables_number 1
loop_
_symmetry_equiv_pos_as_xyz
'x,y,z'
loop_
_atom_site_label
_atom_site_type_symbol
_atom_site_fract_x
_atom_site_fract_y
_atom_site_fract_z
Tb1 Tb 0.000 0.000 0.000
Tb2 Tb 0.335 0.335 0.333
Tb3 Tb 0.665 0.665 0.667
Mg1 Mg 0.062 0.062 0.392
Mg2 Mg 0.284 0.284 0.948
Mg3 Mg 0.716 0.716 0.052
Mg4 Mg 0.938 0.938 0.608
Cd1 Cd 0.389 0.389 0.723
Cd2 Cd 0.611 0.611 0.277
```

=====

Which structure is the most stable? The one labeled b.